(1)
The following is a DFT calculation (GGA-PBE) of a relaxed CrReNi crystal.

Results
- E above lowest polymorph: 0.000 eV per atom
- ΔH_f (0 K): 0.0613 eV/atom
- Crystal system: orthorhombic
- DOS at the Fermi energy: 1.016 states/eV/atom

a = 3.063 Å, b = 4.011 Å, c = 6.317 Å
α = 90.00°, β = 104.03°, γ = 90.00°
Fractional positions:
Ni 0.757 0.750 0.514
Ni 0.243 0.250 0.486
Cr 0.580 0.250 0.160
Re 0.909 0.250 0.818
Cr 0.420 0.750 0.840
Re 0.091 0.750 0.182


(2)
The following is a DFT calculation (GGA-PBE) of a relaxed Ca2HoPaO6 crystal.

Results
- Raw formation energy: -3285 kJ/mol of formula units
- Crystal system: trigonal
- DOS at the Fermi energy: 0.000 states/eV/atom

a = 5.874 Å, b = 5.874 Å, c = 6.084 Å
α = 61.13°, β = 61.13°, γ = 60.00°
Fractional positions:
O 0.598 0.190 0.260
O 0.108 0.440 0.770
O 0.440 0.682 0.770
O 0.190 0.952 0.260
Ho 0.812 0.812 0.564
Ca 0.533 0.533 0.401
Pa 0.316 0.316 0.053
O 0.682 0.108 0.770
Ca 0.030 0.030 0.909
O 0.952 0.598 0.260


(3)
The following is a DFT calculation (GGA-PBE) of a relaxed LiCaSn2 crystal.

Results
- ΔH_f (0 K): -0.4094 eV/atom
- Crystal system: cubic
- DOS at the Fermi energy: 0.647 states/eV/atom

a = 5.229 Å, b = 5.229 Å, c = 5.229 Å
α = 60.00°, β = 60.00°, γ = 60.00°
Fractional positions:
Li 0.000 0.000 0.000
Ca 0.500 0.500 0.500
Sn 0.250 0.250 0.250
Sn 0.750 0.750 0.750


(4)
The following is a DFT calculation (GGA-PBE) of a relaxed NbInN crystal.

Results
- E above lowest polymorph: 0.147 eV per atom
- Raw formation energy: -106 kJ/mol of formula units
- Crystal system: monoclinic
- DOS at the Fermi energy: 0.240 states/eV/atom

a = 5.643 Å, b = 2.993 Å, c = 13.259 Å
α = 90.00°, β = 109.88°, γ = 90.00°
Fractional positions:
In 0.615 0.500 0.450
Nb 0.577 0.500 0.154
N 0.365 0.500 0.697
In 0.615 0.000 0.950
N 0.865 0.000 0.197
Nb 0.152 0.000 0.739
In 0.115 0.500 0.943
In 0.115 0.000 0.443
Nb 0.152 0.500 0.239
N 0.365 0.000 0.197
Nb 0.577 0.000 0.654
N 0.865 0.500 0.697